The following is a PBE calculation of crystalline CeReP at its relaxed geometry, from Alexandria via LeMat-Bulk.

Cell: 5.9029 5.9029 5.9029 Å, 149.23 149.23 44.08°
Fractional coordinates of all 3 atoms:
Ce1 0.0000 0.0000 0.0000
Re1 0.2999 0.2999 0.0000
P1 0.7025 0.7025 0.0000

Calculated values
formation enthalpy at 0 K	-455	meV per atom
N(E_F)	1.014	states/eV per atom

***

The following is a PBE calculation of crystalline CeRe4P2 at its relaxed geometry, from Alexandria via LeMat-Bulk.

Cell: 7.1757 7.1757 4.0473 Å, 90.00 90.00 146.97°
Fractional coordinates of all 7 atoms:
Ce1 0.0000 0.0000 0.0000
Re1 0.1821 0.8179 0.5000
Re2 0.3089 0.6911 0.0000
Re3 0.6911 0.3089 0.0000
Re4 0.8179 0.1821 0.5000
P1 0.4134 0.5866 0.5000
P2 0.5866 0.4134 0.5000

Calculated values
formation enthalpy at 0 K	-599	meV per atom
N(E_F)	0.565	states/eV per atom

***

The following is a PBE calculation of crystalline CeP2Rh2 at its relaxed geometry, from Alexandria via LeMat-Bulk.

Cell: 4.1656 4.1656 9.5006 Å, 90.00 90.00 90.00°
Fractional coordinates of all 10 atoms:
Ce1 0.2500 0.2500 0.2430
Ce2 0.7500 0.7500 0.7570
P1 0.2500 0.2500 0.6383
P2 0.2500 0.7500 0.0000
P3 0.7500 0.2500 0.0000
P4 0.7500 0.7500 0.3617
Rh1 0.2500 0.2500 0.8867
Rh2 0.2500 0.7500 0.5000
Rh3 0.7500 0.2500 0.5000
Rh4 0.7500 0.7500 0.1133

Calculated values
formation enthalpy at 0 K	-1126	meV per atom
N(E_F)	0.783	states/eV per atom

***

The following is a PBE calculation of crystalline Ce2PRh at its relaxed geometry, from Alexandria via LeMat-Bulk.

Cell: 5.8031 4.0805 7.9708 Å, 90.00 110.53 90.00°
Fractional coordinates of all 8 atoms:
Ce1 0.1984 0.2500 0.4139
Ce2 0.2904 0.7500 0.0636
Ce3 0.7096 0.2500 0.9364
Ce4 0.8016 0.7500 0.5861
P1 0.3664 0.7500 0.7003
P2 0.6336 0.2500 0.2997
Rh1 0.1348 0.2500 0.7921
Rh2 0.8652 0.7500 0.2079

Calculated values
formation enthalpy at 0 K	-1008	meV per atom
N(E_F)	1.821	states/eV per atom

***

The following is a PBE calculation of crystalline CeP2Rh3 at its relaxed geometry, from Alexandria via LeMat-Bulk.

Cell: 8.2055 8.2055 9.6918 Å, 107.70 107.70 27.54°
Fractional coordinates of all 18 atoms:
Ce1 0.0000 0.0000 0.0000
Ce2 0.1559 0.1559 0.6959
Ce3 0.8441 0.8441 0.3041
P1 0.1976 0.1976 0.1288
P2 0.3635 0.3635 0.5508
P3 0.4599 0.4599 0.2227
P4 0.5401 0.5401 0.7773
P5 0.6365 0.6365 0.4492
P6 0.8024 0.8024 0.8712
Rh1 0.0429 0.0429 0.3310
Rh2 0.2245 0.2245 0.3908
Rh3 0.3212 0.3212 0.0406
Rh4 0.3775 0.3775 0.7977
Rh5 0.5000 0.5000 0.5000
Rh6 0.6225 0.6225 0.2023
Rh7 0.6788 0.6788 0.9594
Rh8 0.7755 0.7755 0.6092
Rh9 0.9571 0.9571 0.6690

Calculated values
formation enthalpy at 0 K	-1055	meV per atom
N(E_F)	0.705	states/eV per atom

***

The following is a PBE calculation of crystalline Ce4PRh2 at its relaxed geometry, from Alexandria via LeMat-Bulk.

Cell: 7.5207 7.5207 7.5207 Å, 106.97 106.97 114.61°
Fractional coordinates of all 14 atoms:
Ce1 0.0005 0.7465 0.1239
Ce2 0.1234 0.9995 0.7460
Ce3 0.1274 0.5035 0.7540
Ce4 0.2535 0.3774 0.2540
Ce5 0.4965 0.2505 0.6239
Ce6 0.6226 0.8766 0.8761
Ce7 0.6266 0.8726 0.3761
Ce8 0.7495 0.3734 0.2460
P1 0.2500 0.7500 0.5000
P2 0.5000 0.5000 0.0000
Rh1 0.0037 0.1250 0.3787
Rh2 0.3750 0.9963 0.1213
Rh3 0.7463 0.6250 0.6213
Rh4 0.8750 0.2537 0.8787

Calculated values
formation enthalpy at 0 K	-795	meV per atom
N(E_F)	2.388	states/eV per atom

***

The following is a PBE calculation of crystalline Ce2PRh3 at its relaxed geometry, from Alexandria via LeMat-Bulk.

Cell: 3.7672 4.0200 7.7751 Å, 90.00 90.00 90.00°
Fractional coordinates of all 6 atoms:
Ce1 0.0000 0.0000 0.0000
Ce2 0.0000 0.5000 0.4946
P1 0.5000 0.0000 0.3265
Rh1 0.5000 0.0000 0.6289
Rh2 0.5000 0.5000 0.1809
Rh3 0.5000 0.5000 0.8434

Calculated values
formation enthalpy at 0 K	-872	meV per atom
N(E_F)	0.956	states/eV per atom

***

The following is a PBE calculation of crystalline CeP3Rh5 at its relaxed geometry, from Alexandria via LeMat-Bulk.

Cell: 6.3587 6.3587 12.2006 Å, 90.00 90.00 144.40°
Fractional coordinates of all 18 atoms:
Ce1 0.1477 0.8523 0.7500
Ce2 0.8523 0.1477 0.2500
P1 0.1172 0.8828 0.2500
P2 0.3897 0.6103 0.0463
P3 0.3897 0.6103 0.4537
P4 0.6103 0.3897 0.5463
P5 0.6103 0.3897 0.9537
P6 0.8828 0.1172 0.7500
Rh1 0.0000 0.0000 0.0000
Rh2 0.0000 0.0000 0.5000
Rh3 0.2106 0.7894 0.0779
Rh4 0.2106 0.7894 0.4221
Rh5 0.4396 0.5604 0.6411
Rh6 0.4396 0.5604 0.8589
Rh7 0.5604 0.4396 0.1411
Rh8 0.5604 0.4396 0.3589
Rh9 0.7894 0.2106 0.5779
Rh10 0.7894 0.2106 0.9221

Calculated values
formation enthalpy at 0 K	-837	meV per atom
N(E_F)	0.802	states/eV per atom

***

The following is a PBE calculation of crystalline Ce2PRh at its relaxed geometry, from Alexandria via LeMat-Bulk.

Cell: 7.3680 7.3680 7.3680 Å, 31.12 31.12 31.12°
Fractional coordinates of all 4 atoms:
Ce1 0.2492 0.2492 0.2492
Ce2 0.7508 0.7508 0.7508
P1 0.0000 0.0000 0.0000
Rh1 0.5000 0.5000 0.5000

Calculated values
formation enthalpy at 0 K	-981	meV per atom
N(E_F)	1.978	states/eV per atom

***

The following is a PBE calculation of crystalline CeP2Rh5 at its relaxed geometry, from Alexandria via LeMat-Bulk.

Cell: 6.1266 6.1266 6.1266 Å, 142.79 112.79 79.41°
Fractional coordinates of all 8 atoms:
Ce1 0.0000 0.0000 0.0000
P1 0.2571 0.7571 0.5000
P2 0.7429 0.2429 0.5000
Rh1 0.1497 0.3526 0.7971
Rh2 0.4445 0.6474 0.7971
Rh3 0.5000 0.0000 0.5000
Rh4 0.5555 0.3526 0.2029
Rh5 0.8503 0.6474 0.2029

Calculated values
formation enthalpy at 0 K	-857	meV per atom
N(E_F)	0.718	states/eV per atom

***

The following is a PBE calculation of crystalline CeP4Rh6 at its relaxed geometry, from Alexandria via LeMat-Bulk.

Cell: 7.0080 7.0080 3.7825 Å, 90.00 90.00 120.00°
Fractional coordinates of all 11 atoms:
Ce1 0.0000 0.0000 0.0000
P1 0.3333 0.6667 0.0000
P2 0.3835 0.1917 0.5000
P3 0.8083 0.1917 0.5000
P4 0.8083 0.6165 0.5000
Rh1 0.1960 0.3921 0.5000
Rh2 0.1960 0.8040 0.5000
Rh3 0.5317 0.0634 0.0000
Rh4 0.5317 0.4683 0.0000
Rh5 0.6079 0.8040 0.5000
Rh6 0.9366 0.4683 0.0000

Calculated values
formation enthalpy at 0 K	-874	meV per atom
N(E_F)	0.759	states/eV per atom

***

The following is a PBE calculation of crystalline Ce3P2Rh7 at its relaxed geometry, from Alexandria via LeMat-Bulk.

Cell: 13.5504 13.5504 13.5504 Å, 163.11 163.11 23.98°
Fractional coordinates of all 12 atoms:
Ce1 0.0000 0.0000 0.0000
Ce2 0.1740 0.1740 0.0000
Ce3 0.8260 0.8260 0.0000
P1 0.3718 0.3718 0.0000
P2 0.6282 0.6282 0.0000
Rh1 0.0822 0.5822 0.5000
Rh2 0.2839 0.2839 0.0000
Rh3 0.4178 0.9178 0.5000
Rh4 0.5000 0.5000 0.0000
Rh5 0.5822 0.0822 0.5000
Rh6 0.7161 0.7161 0.0000
Rh7 0.9178 0.4178 0.5000

Calculated values
formation enthalpy at 0 K	-915	meV per atom
N(E_F)	0.778	states/eV per atom